1.
This record from Alexandria via LeMat-Bulk describes a crystal of MoC2 relaxed with PBEsol. The functional is SCAN.

Lattice parameters (Å, degrees): 2.8639 2.8639 6.3326 90.00 90.00 90.00
Atoms (fractional coordinates):
Mo: 0.5000 0.0000 0.7374
Mo: 0.0000 0.5000 0.2626
C: 0.0000 0.0000 0.0000
C: 0.5000 0.5000 0.0000
C: 0.5000 0.0000 0.3842
C: 0.0000 0.5000 0.6158

- ΔE_f (kJ per mole of atoms) = 86.7
- offset from the most stable computed form (meV/atom) = 41
- total DFT energy (no corrections) (eV per atom) = -17.463


2.
This record from Alexandria via LeMat-Bulk describes a crystal of HgAsSe2O relaxed with PBEsol. The functional is SCAN.

Lattice parameters (Å, degrees): 4.5245 4.5245 4.4413 90.00 90.00 90.00
Atoms (fractional coordinates):
O: 0.0000 0.0000 0.0000
As: 0.0000 0.0000 0.5000
Hg: 0.5000 0.5000 0.5000
Se: 0.0000 0.5000 0.0000
Se: 0.5000 0.0000 0.0000

- formation energy from raw total energies (eV per atom) = 0.542
- total DFT energy (no corrections) (eV per atom) = -26.407


3.
This record from Alexandria via LeMat-Bulk describes a crystal of CaBr relaxed with PBEsol. The functional is SCAN.

Lattice parameters (Å, degrees): 3.6833 3.6833 3.6833 90.00 90.00 90.00
Last column: magnetic moment on the atom in μB.
Atoms (fractional coordinates):
Ca: 0.5000 0.5000 0.5000  0.32
Br: 0.0000 0.0000 0.0000  0.01

- formation energy from raw total energies (eV per atom) = -1.138
- total DFT energy (no corrections) (eV per atom) = -15.699


- Which formula does entry 3 have?
  CaBr


What did the first record say?
This record from Alexandria via LeMat-Bulk describes a crystal of MoC2 relaxed with PBEsol. The functional is SCAN.

Lattice parameters (Å, degrees): 2.8639 2.8639 6.3326 90.00 90.00 90.00
Atoms (fractional coordinates):
Mo: 0.5000 0.0000 0.7374
Mo: 0.0000 0.5000 0.2626
C: 0.0000 0.0000 0.0000
C: 0.5000 0.5000 0.0000
C: 0.5000 0.0000 0.3842
C: 0.0000 0.5000 0.6158

- ΔE_f (kJ per mole of atoms) = 86.7
- offset from the most stable computed form (meV/atom) = 41
- total DFT energy (no corrections) (eV per atom) = -17.463


What did the second record say?
This record from Alexandria via LeMat-Bulk describes a crystal of HgAsSe2O relaxed with PBEsol. The functional is SCAN.

Lattice parameters (Å, degrees): 4.5245 4.5245 4.4413 90.00 90.00 90.00
Atoms (fractional coordinates):
O: 0.0000 0.0000 0.0000
As: 0.0000 0.0000 0.5000
Hg: 0.5000 0.5000 0.5000
Se: 0.0000 0.5000 0.0000
Se: 0.5000 0.0000 0.0000

- formation energy from raw total energies (eV per atom) = 0.542
- total DFT energy (no corrections) (eV per atom) = -26.407